Record 1
# K2CrHPd (PBE-GGA, relaxed)
# calculated volume = 188.35 Å³ per cell
# spin magnetization = 4.98 μB/f.u.
# calculated total energy = -17.02 eV/cell
data_K2CrHPd
_space_group_name_H-M_alt 'P 4/m m m'
_space_group_IT_number 123
_space_group_name_Hall '-P 4 2'
_cell_length_a 6.213
_cell_length_b 6.213
_cell_length_c 4.879
_cell_angle_alpha 90.00
_cell_angle_beta 90.00
_cell_angle_gamma 90.00
loop_
_atom_site_label
_atom_site_fract_x
_atom_site_fract_y
_atom_site_fract_z
_atom_site_occupancy
K1 0.000 0.500 0.000 1
Cr1 0.000 0.000 0.500 1
H1 0.500 0.500 0.500 1
Pd1 0.000 0.000 0.000 1


Record 2
# KCrHS2 (PBE-GGA, relaxed)
# calculated volume = 153.16 Å³ per cell
# spin magnetization = 2.61 μB/f.u.
# calculated total energy = -21.87 eV/cell
data_KCrHS2
_space_group_name_H-M_alt 'P 4/m m m'
_space_group_IT_number 123
_space_group_name_Hall '-P 4 2'
_cell_length_a 4.395
_cell_length_b 4.395
_cell_length_c 7.929
_cell_angle_alpha 90.00
_cell_angle_beta 90.00
_cell_angle_gamma 90.00
loop_
_atom_site_label
_atom_site_fract_x
_atom_site_fract_y
_atom_site_fract_z
_atom_site_occupancy
K1 0.000 0.000 0.000 1
Cr1 0.000 0.000 0.500 1
H1 0.500 0.500 0.000 1
S1 0.000 0.500 0.500 1


Record 3
# KCrH2S (PBE-GGA, relaxed)
# calculated volume = 76.90 Å³ per cell
# spin magnetization = 3.00 μB/f.u.
# calculated total energy = -22.52 eV/cell
data_KCrH2S
_space_group_name_H-M_alt 'P 4/m m m'
_space_group_IT_number 123
_space_group_name_Hall '-P 4 2'
_cell_length_a 4.127
_cell_length_b 4.127
_cell_length_c 4.514
_cell_angle_alpha 90.00
_cell_angle_beta 90.00
_cell_angle_gamma 90.00
loop_
_atom_site_label
_atom_site_fract_x
_atom_site_fract_y
_atom_site_fract_z
_atom_site_occupancy
K1 0.000 0.000 0.000 1
Cr1 0.500 0.500 0.500 1
H1 0.000 0.500 0.500 1
S1 0.500 0.500 0.000 1


Record 4
# K2SrCrH6 (PBE-GGA, relaxed)
# calculated volume = 188.80 Å³ per cell
# spin magnetization = 3.71 μB/f.u.
# calculated total energy = -35.38 eV/cell
data_K2SrCrH6
_space_group_name_H-M_alt 'P -3 m 1'
_space_group_IT_number 164
_space_group_name_Hall '-P 3 2"'
_cell_length_a 5.8784
_cell_length_b 5.8784
_cell_length_c 6.3091
_cell_angle_alpha 90.00
_cell_angle_beta 90.00
_cell_angle_gamma 120.00
loop_
_atom_site_label
_atom_site_fract_x
_atom_site_fract_y
_atom_site_fract_z
_atom_site_occupancy
K1 0.3333 0.6667 0.3796 1
Sr1 0.0000 0.0000 0.0000 1
Cr1 0.0000 0.0000 0.5000 1
H1 0.1359 0.2718 0.6712 1